The following is a DFT calculation (GGA-PBE) of TaCuPd4 after structural relaxation.

Structure (extended XYZ):
```
12
Lattice="5.595 0.000 0.000 0.000 6.748 0.000 0.000 0.000 5.516" Properties=species:S:1:pos:R:3 pbc="T T T"
Ta 1.399 0.000 1.075
Ta 4.196 0.000 4.441
Cu 1.399 3.374 3.810
Cu 4.196 3.374 1.706
Pd 0.000 1.477 2.758
Pd 0.000 1.920 0.000
Pd 0.000 4.829 0.000
Pd 0.000 5.271 2.758
Pd 2.797 1.477 2.758
Pd 2.797 1.920 0.000
Pd 2.797 4.829 0.000
Pd 2.797 5.271 2.758
```

Relative energy among the computed polymorphs = 276 meV/atom
Energy of formation = -0.0596 eV per atom
Crystal system = orthorhombic